1.
CuHgTe2 | the Alexandria database | PBE | relaxed; total magnetic moment = 0.000 μB/f.u.; formation energy without anion corrections = -0.06 eV per atom; total DFT energy (no corrections) = -2.726 eV/atom
1.0
4.333 0.001 -0.050
-0.001 7.466 0.002
-2.128 -0.003 3.780
Te Hg Cu
2 1 1
Direct
0.272 0.046 0.073
0.940 0.486 0.408
0.273 0.673 0.075
0.939 0.142 0.407

2.
Rb3ZnGe | the Alexandria database | PBE | relaxed; ΔE to the lowest computed polymorph = 0.204 eV/atom; total magnetic moment = 1.002 μB/f.u.; energy relative to the elements = 0.31 eV per atom; total DFT energy (no corrections) = -1.449 eV/atom
1.0
-2.541 -6.166 -1.735
-0.791 -1.550 6.668
-6.356 2.658 -0.136
Ge Zn Rb
1 1 3
Direct
0.000 0.000 0.000
0.500 0.500 0.500
0.000 0.500 0.000
0.000 0.000 0.500
0.500 0.000 0.000

3.
PmMoRu | the Alexandria database | PBE | relaxed; total magnetic moment = 0.000 μB/f.u.; energy relative to the elements = 0.07 eV per atom; total DFT energy (no corrections) = -8.211 eV/atom
1.0
3.157 0.000 0.000
0.000 3.157 0.000
-1.578 -1.578 12.345
Mo Ru Pm
2 2 2
Direct
0.285 0.285 0.570
0.715 0.715 0.430
0.158 0.158 0.317
0.842 0.842 0.683
0.572 0.572 0.143
0.428 0.428 0.857